[1]
First-principles (PBE-GGA) data for HfUIn after structural relaxation, as listed in the Alexandria database.

Cell lengths 4.3539, 5.4172, 7.3602 Å; angles 62.64, 72.80, 66.31 degrees
Site moments in Bohr magnetons follow the coordinates.
Fractional coordinates of all 6 atoms:
Hf  0.6741  0.2421  0.4097  -0.07
Hf  0.3259  0.7579  0.5903  -0.07
In  0.9977  0.2830  0.7216  -0.01
In  0.0023  0.7170  0.2784  -0.01
U  0.3612  0.2104  0.0673  1.89
U  0.6388  0.7896  0.9327  1.89

Results
DFT formation energy: 0.14 eV per atom
Offset from the most stable computed form: 81 meV/atom

[2]
First-principles (PBE-GGA) data for H8IrPt2Pb after structural relaxation, as listed in the Alexandria database.

Cell lengths 4.6490, 4.5879, 5.9494 Å; angles 79.75, 81.42, 75.92 degrees
Fractional coordinates of all 12 atoms:
H  0.6846  0.2150  0.8646
H  0.2255  0.2488  0.9890
Pb  0.0000  0.0000  0.5000
H  0.2478  0.6842  0.8971
H  0.7522  0.3158  0.1029
H  0.4147  0.3600  0.4130
Pt  0.6429  0.6072  0.2880
Ir  0.0000  0.0000  0.0000
Pt  0.3571  0.3928  0.7120
H  0.3154  0.7850  0.1354
H  0.7745  0.7512  0.0110
H  0.5853  0.6400  0.5870

Results
Electronic total energy: -4.198 eV/atom

Repeat the second record exactly.
First-principles (PBE-GGA) data for H8IrPt2Pb after structural relaxation, as listed in the Alexandria database.

Cell lengths 4.6490, 4.5879, 5.9494 Å; angles 79.75, 81.42, 75.92 degrees
Fractional coordinates of all 12 atoms:
H  0.6846  0.2150  0.8646
H  0.2255  0.2488  0.9890
Pb  0.0000  0.0000  0.5000
H  0.2478  0.6842  0.8971
H  0.7522  0.3158  0.1029
H  0.4147  0.3600  0.4130
Pt  0.6429  0.6072  0.2880
Ir  0.0000  0.0000  0.0000
Pt  0.3571  0.3928  0.7120
H  0.3154  0.7850  0.1354
H  0.7745  0.7512  0.0110
H  0.5853  0.6400  0.5870

Results
Electronic total energy: -4.198 eV/atom